PBE RbCd4Pt, optimized geometry; E above lowest polymorph = 6 meV per atom
1.0
8.9000 0.0000 0.0000
0.0000 4.4573 0.0000
0.0000 0.0000 8.0991
Rb Cd Pt
2 8 2
Direct
0.2500 0.0000 0.1139 Rb
0.7500 0.0000 0.8861 Rb
0.0000 0.0000 0.5000 Cd
0.0718 0.5000 0.8170 Cd
0.2500 0.5000 0.4717 Cd
0.4282 0.5000 0.8170 Cd
0.5000 0.0000 0.5000 Cd
0.5718 0.5000 0.1830 Cd
0.7500 0.5000 0.5283 Cd
0.9282 0.5000 0.1830 Cd
0.2500 0.0000 0.6930 Pt
0.7500 0.0000 0.3070 Pt



PBE LiW2Se, optimized geometry; electronic total energy = -7.26 eV per atom
1.0
2.6526 -4.8015 0.0000
2.6526 4.8015 0.0000
-1.8556 0.0000 2.5707
Li W Se
1 2 1
Direct
0.0000 0.0000 0.0000 Li
0.0000 0.5000 0.0000 W
0.5000 0.0000 0.0000 W
0.5000 0.5000 0.0000 Se